Record 1
Density functional theory data (PBE) for a relaxed Pa2H crystal.

a b c (Å): 3.9226 3.9226 6.4641
angles (deg): 127.27 127.27 87.91
With the nearest neighbours (Å) after each atom.
Positions (direct):
H  0.5000  0.5000  0.0000  2 Pa 2.06
Pa  0.1206  0.1206  0.3302  1 H 2.06
Pa  0.8794  0.8794  0.6698  1 H 2.06

## Properties
electronic total energy: -7.2398 eV/atom
symmetry: C2/m
volume: 17.91 Å³/atom

***

Record 2
Density functional theory data (PBE) for a relaxed Y6SeS2N3 crystal.

a b c (Å): 3.6538 7.6152 8.4595
angles (deg): 106.37 102.47 90.00
With the nearest neighbours (Å) after each atom.
Positions (direct):
Y  0.3217  0.9387  0.6434  3 N 2.45-2.50
Y  0.6584  0.6048  0.3169  3 N 2.49-2.51
Y  0.6783  0.0613  0.3566  3 N 2.45-2.50
Y  0.9896  0.2791  0.9792  3 N 2.46-2.48
Y  0.0104  0.7209  0.0208  3 N 2.46-2.48
Y  0.3416  0.3952  0.6831  3 N 2.49-2.51
Se  0.5000  0.0000  0.0000  6 Y 2.85
S  0.8336  0.6678  0.6672  6 Y 2.79-2.83
S  0.1664  0.3322  0.3328  6 Y 2.79-2.83
N  0.5000  0.5000  0.0000  6 Y 2.46-2.51
N  0.8329  0.1687  0.6658  6 Y 2.45-2.50
N  0.1671  0.8313  0.3342  6 Y 2.45-2.50

## Properties
electronic total energy: -8.0882 eV/atom
symmetry: C2/m
volume: 18.34 Å³/atom
raw formation energy: -1797 meV/atom

***

Record 3
Density functional theory data (PBE) for a relaxed TaPtRh2 crystal.

a b c (Å): 2.7909 2.7909 7.9303
angles (deg): 90.00 90.00 90.00
With the nearest neighbours (Å) after each atom.
Positions (direct):
Ta  0.0000  0.0000  0.4952  4 Rh 2.78, 4 Ta 2.79, 4 Pt 2.82
Pt  0.5000  0.5000  0.7494  4 Pt 2.79, 4 Ta 2.82, 4 Rh 2.84
Rh  0.0000  0.0000  0.0067  8 Rh 2.75-2.79, 4 Pt 2.84
Rh  0.5000  0.5000  0.2487  8 Rh 2.75-2.79, 4 Ta 2.78

## Properties
electronic total energy: -8.4555 eV/atom
symmetry: P4mm
volume: 15.44 Å³/atom
calculated formation energy: -0.3064 eV/atom

***

Record 4
Density functional theory data (PBE) for a relaxed SrCu3Au crystal.

a b c (Å): 5.2463 5.2463 5.2463
angles (deg): 90.00 90.00 90.00
With the nearest neighbours (Å) after each atom.
Positions (direct):
Sr  0.0000  0.0000  0.0000  6 Cu 2.62
Au  0.5000  0.5000  0.5000  12 Cu 3.71
Cu  0.0000  0.5000  0.0000  2 Sr 2.62
Cu  0.0000  0.0000  0.5000  2 Sr 2.62
Cu  0.5000  0.0000  0.0000  2 Sr 2.62

## Properties
electronic total energy: -1.9495 eV/atom
symmetry: Pm-3m
relative energy among the computed polymorphs: 130.7 kJ/mol of atoms
volume: 28.88 Å³/atom
calculated formation energy: 1.5001 eV/atom

***

Record 5
Density functional theory data (PBE) for a relaxed Nb3FeS crystal.

a b c (Å): 4.5187 4.5187 4.5187
angles (deg): 90.00 90.00 90.00
With the nearest neighbours (Å) after each atom.
Positions (direct):
S  0.0000  0.0000  0.0000  6 Nb 2.26
Nb  0.0000  0.5000  0.0000  2 S 2.26
Nb  0.0000  0.0000  0.5000  2 S 2.26
Nb  0.5000  0.0000  0.0000  2 S 2.26
Fe  0.5000  0.5000  0.5000  12 Nb 3.20

## Properties
electronic total energy: -8.0112 eV/atom
symmetry: Pm-3m
relative energy among the computed polymorphs: 0.0 kJ/mol of atoms
volume: 18.45 Å³/atom
raw formation energy: 549 meV/atom

***

Record 6
Density functional theory data (PBE) for a relaxed CdFe3 crystal.

a b c (Å): 4.6796 4.6796 2.7061
angles (deg): 90.00 90.00 109.56
With the nearest neighbours (Å) after each atom.
Positions (direct):
Cd  0.0000  0.0000  0.0000  10 Fe 2.70, 2 Cd 2.71
Fe  0.0000  0.5000  0.5000  8 Fe 2.70-2.71, 4 Cd 2.70
Fe  0.5000  0.0000  0.5000  8 Fe 2.70-2.71, 4 Cd 2.70
Fe  0.5000  0.5000  0.0000  2 Cd 2.70, 10 Fe 2.70-2.71

## Properties
electronic total energy: -6.2290 eV/atom
symmetry: Cmmm
volume: 13.96 Å³/atom
calculated formation energy: 0.3468 eV/atom

***

Record 7
Density functional theory data (PBE) for a relaxed K4ReOs crystal.

a b c (Å): 6.2730 6.2730 6.2730
angles (deg): 60.00 60.00 60.00
With the nearest neighbours (Å) after each atom.
Positions (direct):
K  0.8735  0.3755  0.3755  6 K 3.12-3.15
K  0.3755  0.3755  0.8735  6 K 3.12-3.15
K  0.3755  0.8735  0.3755  6 K 3.12-3.15
K  0.3755  0.3755  0.3755  6 K 3.12-3.15
Re  0.0000  0.0000  0.0000  12 K 3.68, 4 Os 3.84
Os  0.7500  0.7500  0.7500  12 K 3.68, 4 Re 3.84

## Properties
electronic total energy: -2.5948 eV/atom
symmetry: F-43m
volume: 29.09 Å³/atom
calculated formation energy: 2.0831 eV/atom

***

Record 8
Density functional theory data (PBE) for a relaxed PmDy2Ir3 crystal.

a b c (Å): 4.8916 4.8916 6.0005
angles (deg): 90.00 90.00 120.00
With the nearest neighbours (Å) after each atom.
Positions (direct):
Pm  0.0000  0.0000  0.0000  8 Ir 3.00-3.01
Dy  0.6667  0.3333  0.3350  8 Ir 2.94-3.06
Dy  0.3333  0.6667  0.6650  8 Ir 2.94-3.06
Ir  0.0000  0.0000  0.5000  6 Dy 2.99, 2 Pm 3.00
Ir  0.6667  0.3333  0.8257  5 Dy 2.94-3.06, 3 Pm 3.01
Ir  0.3333  0.6667  0.1743  5 Dy 2.94-3.06, 3 Pm 3.01

## Properties
electronic total energy: -7.4920 eV/atom
symmetry: P-3m1
volume: 20.72 Å³/atom
calculated formation energy: -0.7356 eV/atom

***

Record 9
Density functional theory data (PBE) for a relaxed AlFeRh crystal.

a b c (Å): 4.0904 4.0904 4.0904
angles (deg): 60.00 60.00 60.00
With the nearest neighbours (Å) after each atom.
Positions (direct):
Rh  0.7500  0.7500  0.7500  4 Fe 2.50, 4 Al 2.50
Fe  0.5000  0.5000  0.5000  4 Rh 2.50
Al  0.0000  0.0000  0.0000  4 Rh 2.50

## Properties
electronic total energy: -6.6612 eV/atom
symmetry: F-43m
relative energy among the computed polymorphs: 31.2 kJ/mol of atoms
volume: 16.13 Å³/atom
calculated formation energy: -0.1423 eV/atom

***

Record 10
Density functional theory data (PBE) for a relaxed InCu2Sb crystal.

a b c (Å): 5.3802 5.3802 5.3802
angles (deg): 135.57 135.57 64.65
With the nearest neighbours (Å) after each atom.
Positions (direct):
Cu  0.0000  0.0000  0.0000  4 In 2.88, 4 Cu 3.05, 4 Sb 3.05
Cu  0.2500  0.7500  0.5000  4 Sb 2.88, 4 In 3.05, 4 Cu 3.05
In  0.5000  0.5000  0.0000  8 Cu 2.88-3.05, 4 Sb 3.05
Sb  0.7500  0.2500  0.5000  8 Cu 2.88-3.05, 4 In 3.05

## Properties
electronic total energy: -3.5189 eV/atom
symmetry: I-4m2
volume: 18.81 Å³/atom
raw formation energy: 244 meV/atom

***

Record 11
Density functional theory data (PBE) for a relaxed PrSc2Tl crystal.

a b c (Å): 3.3657 3.3657 11.5044
angles (deg): 81.59 81.59 60.00
With the nearest neighbours (Å) after each atom.
Positions (direct):
Pr  0.0000  0.0000  0.0000  2 Sc 3.23, 6 Pr 3.37
Sc  0.0951  0.0951  0.7148  3 Tl 3.12, 1 Pr 3.23, 6 Sc 3.37
Sc  0.9049  0.9049  0.2852  3 Tl 3.12, 1 Pr 3.23, 6 Sc 3.37
Tl  0.5000  0.5000  0.5000  6 Sc 3.12, 6 Tl 3.37

## Properties
electronic total energy: -4.8187 eV/atom
symmetry: R-3m
relative energy among the computed polymorphs: 27.9 kJ/mol of atoms
volume: 27.81 Å³/atom
calculated formation energy: 0.1335 eV/atom

***

Record 12
Density functional theory data (PBE) for a relaxed AcTbTh crystal.

a b c (Å): 5.1094 5.1094 8.8300
angles (deg): 90.00 90.00 90.00
With the nearest neighbours (Å) after each atom.
Positions (direct):
Th  0.0000  0.0000  0.0000  4 Tb 3.43, 4 Th 3.61, 4 Ac 3.77
Th  0.5000  0.5000  0.0000  4 Tb 3.43, 4 Th 3.61, 4 Ac 3.77
Tb  0.0000  0.5000  0.7412  4 Th 3.43, 5 Ac 3.64-3.78
Tb  0.5000  0.0000  0.2589  4 Th 3.43, 5 Ac 3.64-3.78
Ac  0.0000  0.5000  0.3134  5 Tb 3.64-3.78, 4 Th 3.77
Ac  0.5000  0.0000  0.6866  5 Tb 3.64-3.78, 4 Th 3.77

## Properties
electronic total energy: -5.1782 eV/atom
symmetry: P4/nmm
relative energy among the computed polymorphs: 13.5 kJ/mol of atoms
volume: 38.42 Å³/atom
calculated formation energy: 0.2079 eV/atom